Record 1
Density functional theory data (GGA-PBE) for an optimized crystal structure of Mn2Al2Ga.

Properties
D(E_F) ... 5.7 states/eV per cell
Total magnetization ... 0.584 μB/atom
SG ... P4/mbm, No. 127
E_tot ... -5.89 eV per atom

The structure in POSCAR format:
```
Mn2Al2Ga
1.0
6.165 0.000 0.000
0.000 6.165 0.000
0.000 0.000 3.755
Mn Al Ga
4 4 2
Direct
0.138 0.362 0.000
0.362 0.862 0.000
0.638 0.138 0.000
0.862 0.638 0.000
0.158 0.658 0.500
0.342 0.158 0.500
0.658 0.842 0.500
0.842 0.342 0.500
0.000 0.000 0.000
0.500 0.500 0.000
```

---

Record 2
Density functional theory data (GGA-PBE) for an optimized crystal structure of Mn4AlGa.

Properties
D(E_F) ... 5.5 states/eV per cell
Total magnetization ... 0.000 μB/atom
SG ... Cmmm, No. 65
E_tot ... -7.40 eV per atom

The structure in POSCAR format:
```
Mn4AlGa
1.0
1.970 -4.507 0.000
1.970 4.507 0.000
0.000 0.000 3.935
Mn Al Ga
4 1 1
Direct
0.176 0.824 0.000
0.324 0.676 0.500
0.676 0.324 0.500
0.824 0.176 0.000
0.000 0.000 0.500
0.500 0.500 0.000
```

---

Record 3
Density functional theory data (GGA-PBE) for an optimized crystal structure of MnAlGa.

Properties
D(E_F) ... 1.4 states/eV per cell
Total magnetization ... 0.325 μB/atom
SG ... I4mm, No. 107
E_tot ... -5.43 eV per atom

The structure in POSCAR format:
```
MnAlGa
1.0
-1.540 1.540 4.244
1.540 -1.540 4.244
1.540 1.540 -4.244
Mn Al Ga
1 1 1
Direct
0.000 0.000 0.000
0.655 0.655 0.000
0.344 0.344 0.000
```

---

Record 4
Density functional theory data (GGA-PBE) for an optimized crystal structure of MnAl2Ga.

Properties
D(E_F) ... 4.3 states/eV per cell
Total magnetization ... 0.842 μB/atom
SG ... I-42d, No. 122
E_tot ... -4.63 eV per atom

The structure in POSCAR format:
```
MnAl2Ga
1.0
-3.620 3.620 2.654
3.620 -3.620 2.654
3.620 3.620 -2.654
Mn Al Ga
2 4 2
Direct
0.000 0.000 0.000
0.750 0.250 0.500
0.126 0.625 0.001
0.375 0.376 0.501
0.624 0.125 0.999
0.875 0.874 0.499
0.250 0.750 0.500
0.500 0.500 0.000
```

---

Record 5
Density functional theory data (GGA-PBE) for an optimized crystal structure of Mn2AlGa2.

Properties
D(E_F) ... 9.7 states/eV per cell
Total magnetization ... 1.008 μB/atom
SG ... P4/mbm, No. 127
E_tot ... -5.63 eV per atom

The structure in POSCAR format:
```
Mn2AlGa2
1.0
6.881 0.000 0.000
0.000 6.881 0.000
0.000 0.000 3.035
Mn Al Ga
4 2 4
Direct
0.168 0.332 0.000
0.332 0.832 0.000
0.668 0.168 0.000
0.832 0.668 0.000
0.000 0.000 0.500
0.500 0.500 0.500
0.131 0.631 0.500
0.369 0.131 0.500
0.631 0.869 0.500
0.869 0.369 0.500
```

---

Record 6
Density functional theory data (GGA-PBE) for an optimized crystal structure of Mn6AlGa5.

Properties
D(E_F) ... 6.6 states/eV per cell
Total magnetization ... 1.246 μB/atom
SG ... Cmmm, No. 65
E_tot ... -6.31 eV per atom

The structure in POSCAR format:
```
Mn6AlGa5
1.0
1.913 -5.747 0.000
1.913 5.747 0.000
0.000 0.000 7.298
Mn Al Ga
6 1 5
Direct
0.000 0.000 0.250
0.000 0.000 0.750
0.333 0.667 0.250
0.333 0.667 0.750
0.667 0.333 0.250
0.667 0.333 0.750
0.500 0.500 0.000
0.165 0.835 0.000
0.167 0.833 0.500
0.500 0.500 0.500
0.833 0.167 0.500
0.835 0.165 0.000
```